# CrTc2NF, relaxed, DFT PBE with a Hubbard U
data_CrTc2NF
_chemical_formula_sum 'Cr1 Tc2 N1 F1'
_space_group_name_H-M_alt 'P 1'
_space_group_IT_number 1
_cell_length_a 3.8372
_cell_length_b 4.6663
_cell_length_c 3.8372
_cell_angle_alpha 90.00
_cell_angle_beta 90.00
_cell_angle_gamma 90.00
loop_
_space_group_symop_operation_xyz
'x,y,z'
loop_
_atom_site_label
_atom_site_type_symbol
_atom_site_fract_x
_atom_site_fract_y
_atom_site_fract_z
Cr1 Cr 0.5000 0.5000 0.5000
N1 N 0.0000 0.0000 0.0000
Tc1 Tc 0.0000 0.0000 0.5000
Tc2 Tc 0.5000 0.0000 0.0000
F1 F 0.0000 0.5000 0.0000
# - calculated density (g/cm³) = 6.79
# - total DFT energy (no corrections) (eV/atom) = -6.871